Material: EuY2O4
Method: DFT, PBE-GGA
State: optimized geometry

Polymorph energy (0 for the lowest one), meV per atom: 19
Total magnetic moment, Bohr magnetons per cell: 28.0
ΔE_f (raw), eV/f.u.: -23.092
E, eV/atom: -9.45

a = 10.092 Å, b = 3.424 Å, c = 12.002 Å
α = 90.00°, β = 90.00°, γ = 90.00°
Space group Pnma (No. 62)
One atom of each set of equivalent atoms:
Eu  0.247  0.250  0.149 x4
Y  0.077  0.250  0.388 x4
Y  0.077  0.250  0.889 x4
O  0.014  0.750  0.784 x4
O  0.077  0.250  0.578 x4
O  0.128  0.750  0.021 x4
O  0.212  0.750  0.322 x4